Compound: PrMg4Cd5
Source: the Alexandria database
Functional: PBE
Structure: relaxed Values from VASP.

Computed properties:
SG = P4/mmm (123)
Crystal system = tetragonal

Quantum ESPRESSO input file:
```
&SYSTEM
  ibrav = 0, nat = 10, ntyp = 3
/
ATOMIC_SPECIES
Pr 140.91 Pr.upf
Cd 112.41 Cd.upf
Mg 24.30 Mg.upf
ATOMIC_POSITIONS crystal
Pr 0.000 0.000 0.000
Cd 0.500 0.500 0.124
Cd 0.500 0.500 0.876
Cd 0.500 0.500 0.313
Mg 0.000 0.000 0.406
Cd 0.500 0.500 0.687
Mg 0.000 0.000 0.783
Cd 0.500 0.500 0.500
Mg 0.000 0.000 0.217
Mg 0.000 0.000 0.594
CELL_PARAMETERS angstrom
-1.247 3.079 1.525
0.618 -1.395 3.322
15.982 6.577 -0.210
```

=====

Compound: La2PrDy2Er
Source: the Alexandria database
Functional: PBE
Structure: relaxed Values from VASP.

Computed properties:
SG = Pmma (51)
Crystal system = orthorhombic

Quantum ESPRESSO input file:
```
&SYSTEM
  ibrav = 0, nat = 12, ntyp = 4
/
ATOMIC_SPECIES
La 138.91 La.upf
Pr 140.91 Pr.upf
Dy 162.50 Dy.upf
Er 167.26 Er.upf
ATOMIC_POSITIONS crystal
La 0.500 0.508 0.000
Pr 0.500 0.757 0.342
La 0.000 0.258 0.178
La 0.000 0.758 0.822
Dy 0.000 0.258 0.834
Er 0.000 0.007 0.500
Dy 0.000 0.758 0.166
La 0.500 0.008 0.000
Dy 0.500 0.757 0.667
Pr 0.500 0.257 0.658
Er 0.000 0.507 0.500
Dy 0.500 0.257 0.333
CELL_PARAMETERS angstrom
-0.041 5.703 0.707
0.332 -0.875 7.077
9.923 0.127 -0.449
```

=====

Q: Which V values were calculated for the entries above? A: 231; 408, in Å³ per cell.
Q: Which DFT formation energy values were calculated for the entries above? A: -16; 6, in kJ/mol of atoms.